[1]
Here is a relaxed structure of Tc3MoPd from Alexandria. Energies are from GGA-PBE.

Summary:
As for the symmetry: Pm-3m. The value obtained for the energy above the most stable polymorph in this dataset is 0.6067 eV per atom. For the formation energy, the calculation gives 2.32 eV/atom.

Cell: 4.604 4.604 4.604 Å, 90.00 90.00 90.00°
Positions (direct):
Mo 0.500 0.500 0.500
Tc 0.000 0.500 0.000
Tc 0.000 0.000 0.500
Tc 0.500 0.000 0.000
Pd 0.000 0.000 0.000



[2]
Here is a relaxed structure of TcMoPd2 from Alexandria. Energies are from GGA-PBE.

Summary:
As for the symmetry: R-3m. The value obtained for the energy above the most stable polymorph in this dataset is 0.0000 eV per atom. For the formation energy, the calculation gives 0.12 eV/atom.

Cell: 2.752 2.752 9.353 Å, 81.54 81.54 60.00°
Positions (direct):
Mo 0.000 0.000 0.000
Tc 0.500 0.500 0.500
Pd 0.751 0.751 0.748
Pd 0.249 0.249 0.252



[3]
Here is a relaxed structure of TcMoPd3 from Alexandria. Energies are from GGA-PBE.

Summary:
As for the symmetry: Pm-3m. The value obtained for the energy above the most stable polymorph in this dataset is 0.0000 eV per atom. For the formation energy, the calculation gives 1.54 eV/atom.

Cell: 4.749 4.749 4.749 Å, 90.00 90.00 90.00°
Positions (direct):
Mo 0.000 0.000 0.000
Tc 0.500 0.500 0.500
Pd 0.000 0.500 0.000
Pd 0.000 0.000 0.500
Pd 0.500 0.000 0.000



[4]
Here is a relaxed structure of TcMoPd2 from Alexandria. Energies are from GGA-PBE.

Summary:
As for the symmetry: I-42d. The value obtained for the energy above the most stable polymorph in this dataset is 0.5541 eV per atom. For the formation energy, the calculation gives 0.68 eV/atom.

Cell: 7.134 7.134 5.677 Å, 51.07 51.07 90.00°
Positions (direct):
Mo 0.500 0.500 0.000
Mo 0.250 0.750 0.500
Tc 0.000 0.000 0.000
Tc 0.750 0.250 0.500
Pd 0.621 0.125 0.250
Pd 0.129 0.625 0.250
Pd 0.375 0.379 0.750
Pd 0.875 0.871 0.750



[5]
Here is a relaxed structure of Tc2MoPd from Alexandria. Energies are from GGA-PBE.

Summary:
As for the symmetry: P4/mmm. The value obtained for the energy above the most stable polymorph in this dataset is 0.0000 eV per atom. For the formation energy, the calculation gives 0.02 eV/atom.

Cell: 3.882 3.916 3.916 Å, 90.00 90.00 90.00°
Positions (direct):
Mo 0.500 0.500 0.500
Tc 0.000 0.000 0.500
Tc 0.000 0.500 0.000
Pd 0.500 0.000 0.000



[6]
Here is a relaxed structure of Tc2MoPd from Alexandria. Energies are from GGA-PBE.

Summary:
As for the symmetry: Fm-3m. The value obtained for the energy above the most stable polymorph in this dataset is 0.2409 eV per atom. For the formation energy, the calculation gives 0.26 eV/atom.

Cell: 4.410 4.410 4.410 Å, 60.00 60.00 60.00°
Positions (direct):
Mo 0.000 0.000 0.000
Tc 0.250 0.250 0.250
Tc 0.750 0.750 0.750
Pd 0.500 0.500 0.500



[7]
Here is a relaxed structure of TcMoPd2 from Alexandria. Energies are from GGA-PBE.

Summary:
As for the symmetry: Fm-3m. The value obtained for the energy above the most stable polymorph in this dataset is 0.3585 eV per atom. For the formation energy, the calculation gives 0.48 eV/atom.

Cell: 4.445 4.445 4.445 Å, 60.00 60.00 60.00°
Positions (direct):
Mo 0.000 0.000 0.000
Tc 0.500 0.500 0.500
Pd 0.250 0.250 0.250
Pd 0.750 0.750 0.750



[8]
Here is a relaxed structure of Tc3MoPd from Alexandria. Energies are from GGA-PBE.

Summary:
As for the symmetry: Pm-3m. The value obtained for the energy above the most stable polymorph in this dataset is 0.0000 eV per atom. For the formation energy, the calculation gives 1.72 eV/atom.

Cell: 4.618 4.618 4.618 Å, 90.00 90.00 90.00°
Positions (direct):
Mo 0.000 0.000 0.000
Tc 0.000 0.500 0.000
Tc 0.000 0.000 0.500
Tc 0.500 0.000 0.000
Pd 0.500 0.500 0.500



[9]
Here is a relaxed structure of Tc2MoPd from Alexandria. Energies are from GGA-PBE.

Summary:
As for the symmetry: I-42d. The value obtained for the energy above the most stable polymorph in this dataset is 0.6526 eV per atom. For the formation energy, the calculation gives 0.68 eV/atom.

Cell: 3.809 3.809 9.513 Å, 78.45 78.45 90.00°
Positions (direct):
Mo 0.500 0.500 0.000
Mo 0.250 0.750 0.500
Tc 0.584 0.125 0.250
Tc 0.166 0.625 0.250
Tc 0.375 0.416 0.750
Tc 0.875 0.834 0.750
Pd 0.000 0.000 0.000
Pd 0.750 0.250 0.500



[10]
Here is a relaxed structure of TcMoPd6 from Alexandria. Energies are from GGA-PBE.

Summary:
As for the symmetry: Amm2. For the formation energy, the calculation gives 0.02 eV/atom.

Cell: 4.457 5.561 5.635 Å, 119.57 90.00 90.00°
Positions (direct):
Tc 0.000 0.830 0.660
Mo 0.500 0.672 0.345
Pd 0.000 0.829 0.163
Pd 0.000 0.333 0.163
Pd 0.000 0.331 0.663
Pd 0.500 0.669 0.835
Pd 0.500 0.166 0.835
Pd 0.500 0.168 0.337



[11]
Here is a relaxed structure of V2TcMoPd from Alexandria. Energies are from GGA-PBE.

Summary:
As for the symmetry: P4/mmm. For the formation energy, the calculation gives 1.78 eV/atom.

Cell: 4.448 4.448 4.752 Å, 90.00 90.00 90.00°
Positions (direct):
Mo 0.000 0.000 0.500
Tc 0.500 0.500 0.500
Pd 0.000 0.000 0.000
V 0.000 0.500 0.000
V 0.500 0.000 0.000



[12]
Here is a relaxed structure of ZnTcMo2Pd from Alexandria. Energies are from GGA-PBE.

Summary:
As for the symmetry: P4/mmm. For the formation energy, the calculation gives 1.79 eV/atom.

Cell: 4.750 4.484 4.750 Å, 90.00 90.00 90.00°
Positions (direct):
Zn 0.000 0.500 0.000
Mo 0.000 0.000 0.500
Mo 0.500 0.000 0.000
Tc 0.500 0.500 0.500
Pd 0.000 0.000 0.000



[13]
Here is a relaxed structure of Te2MoPd from Alexandria. Energies are from GGA-PBE.

Summary:
As for the symmetry: R-3m. The energy relative to the elements, uncorrected is 604 meV per atom. The value obtained for the energy above the most stable polymorph in this dataset is 0.5498 eV per atom.

Cell: 9.245 9.245 9.245 Å, 21.39 21.39 21.39°
Positions (direct):
Mo 0.000 0.000 0.000
Te 0.905 0.905 0.905
Te 0.095 0.095 0.095
Pd 0.500 0.500 0.500



[14]
Here is a relaxed structure of Te2MoPd from Alexandria. Energies are from GGA-PBE.

Summary:
As for the symmetry: I-42d. The energy relative to the elements, uncorrected is 219 meV per atom. The value obtained for the energy above the most stable polymorph in this dataset is 0.1652 eV per atom.

Cell: 6.214 6.214 7.306 Å, 64.83 64.83 90.00°
Positions (direct):
Mo 0.500 0.500 0.000
Mo 0.250 0.750 0.500
Te 0.619 0.125 0.250
Te 0.131 0.625 0.250
Te 0.375 0.381 0.750
Te 0.875 0.869 0.750
Pd 0.000 0.000 0.000
Pd 0.750 0.250 0.500



[15]
Here is a relaxed structure of TeMoPd3 from Alexandria. Energies are from GGA-PBE.

Summary:
As for the symmetry: Pm-3m. The energy relative to the elements, uncorrected is 886 meV per atom. The value obtained for the energy above the most stable polymorph in this dataset is 0.0000 eV per atom.

Cell: 4.911 4.911 4.911 Å, 90.00 90.00 90.00°
Positions (direct):
Mo 0.500 0.500 0.500
Te 0.000 0.000 0.000
Pd 0.000 0.500 0.000
Pd 0.000 0.000 0.500
Pd 0.500 0.000 0.000



[16]
Here is a relaxed structure of TeMoPd from Alexandria. Energies are from GGA-PBE.

Summary:
As for the symmetry: Amm2. The energy relative to the elements, uncorrected is 214 meV per atom.

Cell: 3.254 3.257 12.713 Å, 90.00 90.00 119.98°
Positions (direct):
Mo 0.449 0.897 0.000
Mo 0.441 0.881 0.500
Te 0.774 0.547 0.346
Te 0.774 0.547 0.654
Pd 0.115 0.230 0.849
Pd 0.115 0.230 0.151



[17]
Here is a relaxed structure of Te2MoPd from Alexandria. Energies are from GGA-PBE.

Summary:
As for the symmetry: Fm-3m. The energy relative to the elements, uncorrected is 226 meV per atom. The value obtained for the energy above the most stable polymorph in this dataset is 0.1718 eV per atom.

Cell: 4.849 4.849 4.849 Å, 60.00 60.00 60.00°
Positions (direct):
Mo 0.000 0.000 0.000
Te 0.250 0.250 0.250
Te 0.750 0.750 0.750
Pd 0.500 0.500 0.500



[18]
Here is a relaxed structure of TeMo2Pd from Alexandria. Energies are from GGA-PBE.

Summary:
As for the symmetry: I-42d. The energy relative to the elements, uncorrected is 1194 meV per atom.

Cell: 5.935 5.935 7.118 Å, 65.36 65.36 90.00°
Positions (direct):
Mo 0.594 0.125 0.250
Mo 0.156 0.625 0.250
Mo 0.375 0.406 0.750
Mo 0.875 0.844 0.750
Te 0.000 0.000 0.000
Te 0.750 0.250 0.500
Pd 0.500 0.500 0.000
Pd 0.250 0.750 0.500



[19]
Here is a relaxed structure of Te4MoPd2 from Alexandria. Energies are from GGA-PBE.

Summary:
As for the symmetry: C2/c. The energy relative to the elements, uncorrected is -95 meV per atom.

Cell: 8.016 8.016 8.031 Å, 120.02 120.01 90.02°
Positions (direct):
Te 0.869 0.132 0.263
Te 0.381 0.618 0.237
Te 0.869 0.607 0.737
Te 0.868 0.131 0.737
Te 0.393 0.131 0.263
Te 0.381 0.143 0.763
Te 0.382 0.619 0.763
Te 0.857 0.619 0.237
Mo 0.250 0.749 0.500
Mo 0.000 0.001 0.000
Pd 0.625 0.375 0.750
Pd 0.625 0.875 0.250
Pd 0.625 0.375 0.250
Pd 0.125 0.375 0.750



[20]
Here is a relaxed structure of TeMoPd3 from Alexandria. Energies are from GGA-PBE.

Summary:
As for the symmetry: Pm-3m. The energy relative to the elements, uncorrected is 1006 meV per atom. The value obtained for the energy above the most stable polymorph in this dataset is 0.1204 eV per atom.

Cell: 4.839 4.839 4.839 Å, 90.00 90.00 90.00°
Positions (direct):
Mo 0.000 0.000 0.000
Te 0.500 0.500 0.500
Pd 0.000 0.500 0.000
Pd 0.000 0.000 0.500
Pd 0.500 0.000 0.000



[21]
Here is a relaxed structure of Te6MoPd from Alexandria. Energies are from GGA-PBE.

Summary:
As for the symmetry: P-1. The energy relative to the elements, uncorrected is -78 meV per atom.

Cell: 6.728 6.737 7.304 Å, 56.66 59.08 57.63°
Positions (direct):
Te 0.048 0.466 0.702
Te 0.709 0.057 0.805
Te 0.573 0.224 0.292
Te 0.291 0.943 0.195
Te 0.952 0.534 0.298
Te 0.427 0.776 0.708
Mo 0.500 0.500 0.500
Pd 0.000 0.000 0.000



[22]
Here is a relaxed structure of Te2MoPd from Alexandria. Energies are from GGA-PBE.

Summary:
As for the symmetry: R-3m. The energy relative to the elements, uncorrected is 54 meV per atom. The value obtained for the energy above the most stable polymorph in this dataset is 0.0000 eV per atom.

Cell: 9.093 9.093 9.093 Å, 21.95 21.95 21.95°
Positions (direct):
Mo 0.500 0.500 0.500
Te 0.904 0.904 0.904
Te 0.096 0.096 0.096
Pd 0.000 0.000 0.000



[23]
Here is a relaxed structure of TeMo2PdW from Alexandria. Energies are from GGA-PBE.

Summary:
As for the symmetry: P4/mmm. The energy relative to the elements, uncorrected is 2080 meV per atom.

Cell: 4.867 4.663 4.867 Å, 90.00 90.00 90.00°
Positions (direct):
Mo 0.000 0.000 0.500
Mo 0.500 0.000 0.000
Te 0.000 0.000 0.000
Pd 0.000 0.500 0.000
W 0.500 0.500 0.500



[24]
Here is a relaxed structure of ThMoPd from Alexandria. Energies are from GGA-PBE.

Summary:
As for the symmetry: Amm2. For the formation energy, the calculation gives 0.35 eV/atom.

Cell: 3.117 3.296 13.731 Å, 90.00 90.00 118.22°
Positions (direct):
Mo 0.541 0.082 0.000
Mo 0.294 0.587 0.500
Pd 0.617 0.234 0.357
Pd 0.617 0.234 0.643
Th 0.299 0.599 0.822
Th 0.299 0.599 0.178



[25]
Here is a relaxed structure of Ti5MoPd4 from Alexandria. Energies are from GGA-PBE.

Summary:
As for the symmetry: P4/mmm. For the formation energy, the calculation gives -0.45 eV/atom.

Cell: 3.276 3.276 14.806 Å, 90.00 90.00 90.00°
Positions (direct):
Ti 0.500 0.500 0.097
Ti 0.500 0.500 0.304
Ti 0.500 0.500 0.500
Ti 0.500 0.500 0.696
Ti 0.500 0.500 0.903
Mo 0.000 0.000 0.000
Pd 0.000 0.000 0.207
Pd 0.000 0.000 0.402
Pd 0.000 0.000 0.598
Pd 0.000 0.000 0.793



[26]
Here is a relaxed structure of Ti4MoPd3 from Alexandria. Energies are from GGA-PBE.

Summary:
As for the symmetry: P4/mmm. For the formation energy, the calculation gives -0.44 eV/atom.

Cell: 3.127 3.127 13.039 Å, 90.00 90.00 90.00°
Positions (direct):
Mo 0.500 0.500 0.000
Pd 0.500 0.500 0.245
Pd 0.500 0.500 0.500
Pd 0.500 0.500 0.755
Ti 0.000 0.000 0.885
Ti 0.000 0.000 0.115
Ti 0.000 0.000 0.372
Ti 0.000 0.000 0.628



[27]
Here is a relaxed structure of Ti4Mo2Pd from Alexandria. Energies are from GGA-PBE.

Summary:
As for the symmetry: I4/mmm. For the formation energy, the calculation gives -0.03 eV/atom.

Cell: 5.395 5.395 5.395 Å, 108.29 110.06 110.06°
Positions (direct):
Ti 0.500 0.000 0.000
Ti 0.500 0.500 0.500
Ti 0.000 0.000 0.500
Ti 0.000 0.500 0.000
Mo 0.500 0.500 0.000
Mo 0.500 0.000 0.500
Pd 0.000 0.000 0.000